Here is an optimized crystal structure of SrFePb4 from the Alexandria database. Energies are from GGA-PBE.

```
data_SrFePb4
_space_group_name_H-M_alt 'P 1'
_space_group_IT_number 1
_space_group_name_Hall 'P 1'
_cell_length_a 6.4781
_cell_length_b 6.4781
_cell_length_c 6.4781
_cell_angle_alpha 60.00
_cell_angle_beta 60.00
_cell_angle_gamma 60.00
loop_
_atom_site_label
_atom_site_type_symbol
_atom_site_fract_x
_atom_site_fract_y
_atom_site_fract_z
Sr1 Sr 0.7500 0.7500 0.7500
Pb1 Pb 0.3747 0.3747 0.3747
Pb2 Pb 0.3747 0.8759 0.3747
Pb3 Pb 0.3747 0.3747 0.8759
Pb4 Pb 0.8759 0.3747 0.3747
Fe1 Fe 0.0000 0.0000 0.0000
```

final energy	-3.806	eV per atom
DOS(E_F)	10.2	states/eV per cell
spin magnetization	3.3	μB per cell